No. 1
DFT (GGA+U) results for an optimized crystal structure of K2BeMoO4.

```
data_K2BeMoO4
_cell_length_a 5.042
_cell_length_b 12.190
_cell_length_c 19.974
_cell_angle_alpha 90.00
_cell_angle_beta 90.00
_cell_angle_gamma 90.00
_symmetry_space_group_name_H-M 'F d d d'
_symmetry_Int_Tables_number 70
loop_
_symmetry_equiv_pos_as_xyz
'x,y,z'
'-x,-y,-z'
'-x+1/4,-y+1/4,z'
'x+1/4,y+1/4,-z'
'x,-y+1/4,-z+1/4'
'-x,y+1/4,z+1/4'
'-x+1/4,y,-z+1/4'
'x+1/4,-y,z+1/4'
'x,y+1/2,z+1/2'
'-x,-y+1/2,-z+1/2'
'-x+1/4,-y+3/4,z+1/2'
'x+1/4,y+3/4,-z+1/2'
'x,-y+3/4,-z+3/4'
'-x,y+3/4,z+3/4'
'-x+1/4,y+1/2,-z+3/4'
'x+1/4,-y+1/2,z+3/4'
'x+1/2,y,z+1/2'
'-x+1/2,-y,-z+1/2'
'-x+3/4,-y+1/4,z+1/2'
'x+3/4,y+1/4,-z+1/2'
'x+1/2,-y+1/4,-z+3/4'
'-x+1/2,y+1/4,z+3/4'
'-x+3/4,y,-z+3/4'
'x+3/4,-y,z+3/4'
'x+1/2,y+1/2,z'
'-x+1/2,-y+1/2,-z'
'-x+3/4,-y+3/4,z'
'x+3/4,y+3/4,-z'
'x+1/2,-y+3/4,-z+1/4'
'-x+1/2,y+3/4,z+1/4'
'-x+3/4,y+1/2,-z+1/4'
'x+3/4,-y+1/2,z+1/4'
loop_
_atom_site_label
_atom_site_type_symbol
_atom_site_fract_x
_atom_site_fract_y
_atom_site_fract_z
K1 K 0.125 0.125 0.305
Be1 Be 0.125 0.125 0.625
Mo1 Mo 0.125 0.125 0.125
O1 O 0.096 0.283 0.842
```

Values from the calculation:
theoretical density = 2.67 Mg/m³
raw total energy = -5.716 eV per atom

---

No. 2
DFT (GGA+U) results for an optimized crystal structure of KBeMoO4.

```
data_KBeMoO4
_cell_length_a 5.037
_cell_length_b 5.516
_cell_length_c 7.053
_cell_angle_alpha 90.00
_cell_angle_beta 107.68
_cell_angle_gamma 90.00
_symmetry_space_group_name_H-M 'P 1 21/m 1'
_symmetry_Int_Tables_number 11
loop_
_symmetry_equiv_pos_as_xyz
'x,y,z'
'-x,-y,-z'
'-x,y+1/2,-z'
'x,-y+1/2,z'
loop_
_atom_site_label
_atom_site_type_symbol
_atom_site_fract_x
_atom_site_fract_y
_atom_site_fract_z
K1 K 0.244 0.250 0.055
Be1 Be 0.398 0.250 0.648
Mo1 Mo 0.168 0.750 0.469
O1 O 0.179 0.025 0.664
O2 O 0.276 0.750 0.224
O3 O 0.432 0.250 0.430
```

Values from the calculation:
theoretical density = 3.70 Mg/m³
D(E_F) = 0.00 states/eV per cell
raw total energy = -6.446 eV per atom